Material: Li3V2P4H2O16
Method: DFT, PBE+U
State: relaxed

Geometry as POSCAR:
```
Li3V2P4H2O16
1.0
-2.868 -3.683 -8.241
9.257 0.632 1.524
1.947 -7.609 0.934
O V Li P H
32 4 6 8 4
Direct
0.132 0.582 0.159
0.697 0.015 0.814
0.621 0.562 0.051
0.839 0.888 0.653
0.866 0.415 0.841
0.384 0.431 0.931
0.683 0.127 0.450
0.435 0.761 0.149
0.822 0.370 0.557
0.563 0.235 0.848
0.273 0.445 0.318
0.306 0.992 0.187
0.375 0.913 0.828
0.232 0.055 0.696
0.329 0.382 0.648
0.488 0.314 0.354
0.186 0.509 0.815
0.809 0.487 0.187
0.766 0.949 0.304
0.180 0.625 0.444
0.016 0.189 0.646
0.121 0.071 0.059
0.923 0.272 0.142
0.623 0.087 0.166
0.504 0.688 0.641
0.729 0.551 0.675
0.879 0.940 0.948
0.303 0.873 0.549
0.665 0.622 0.331
0.070 0.728 0.862
0.167 0.112 0.360
0.988 0.816 0.352
0.999 0.496 0.002
0.750 0.752 0.500
0.247 0.251 0.495
0.498 0.998 0.000
0.339 0.216 0.861
0.962 0.596 0.347
0.042 0.410 0.654
0.659 0.796 0.150
0.449 0.091 0.342
0.557 0.913 0.658
0.859 0.008 0.762
0.354 0.508 0.765
0.258 0.603 0.268
0.644 0.492 0.231
0.239 0.892 0.739
0.751 0.107 0.268
0.142 0.995 0.233
0.739 0.394 0.736
0.246 0.762 0.510
0.986 0.001 0.989
0.516 0.501 0.005
0.758 0.263 0.515
```

Computed properties:
Energy   -6.8662 eV per atom
Spin magnetization   6.000 Bohr magnetons per cell
Space group   P1, No. 1